# 1
# ZnCdAu14

A relaxed ZnCdAu14 crystal (PBE, Alexandria via LeMat-Bulk).

It has space group Amm2 (No. 38), with a = 9.505 Å, b = 5.959 Å, c = 10.198 Å, α = 90.00°, β = 90.00° and γ = 90.00°. The distinct sites, in fractional coordinates, are Zn at (0.000, 0.000, 0.000), Cd at (0.000, 0.000, 0.497), Au at (0.000, 0.248, 0.247), Au at (0.244, 0.000, 0.832), Au at (0.246, 0.247, 0.079), Au at (0.252, 0.000, 0.330), Au at (0.500, 0.000, 0.162), Au at (0.500, 0.000, 0.663) and Au at (0.500, 0.248, 0.913).

As for the formation energy from the elements: -0.04 eV/atom. The crystal system is orthorhombic. As for the calculated total energy: -97.38 eV per cell. The density of states at the Fermi level comes out at 4.30 states/eV/f.u.

=====

# 2
# Cs3Au

A relaxed Cs3Au crystal (PBE, Alexandria via LeMat-Bulk).

It has space group Pmm2 (No. 25), with a = 4.860 Å, b = 4.951 Å, c = 13.264 Å, α = 90.00°, β = 90.00° and γ = 90.00°. The distinct sites, in fractional coordinates, are Cs at (0.000, 0.000, 0.000), Cs at (0.000, 0.500, 0.307), Cs at (0.500, 0.500, 0.665) and Au at (0.500, 0.000, 0.206).

As for the formation energy from the elements: -0.13 eV/atom. For the energy above the lowest structure with this stoichiometry, the calculation gives 0.050 eV per atom. The crystal system is orthorhombic. As for the calculated total energy: -6.36 eV per cell. The density of states at the Fermi level comes out at 3.01 states/eV/f.u.

=====

# 3
# LiS3N

A relaxed LiS3N crystal (PBE, Alexandria via LeMat-Bulk).

It has space group Pm-3m (No. 221), with a = 4.408 Å, b = 4.408 Å, c = 4.408 Å, α = 90.00°, β = 90.00° and γ = 90.00°. The distinct sites, in fractional coordinates, are Li at (0.000, 0.000, 0.000), S at (0.000, 0.000, 0.500) and N at (0.500, 0.500, 0.500).

For the energy above the lowest structure with this stoichiometry, the calculation gives 0.922 eV per atom. The crystal system is cubic. As for the calculated total energy: -14.39 eV per cell. The calculation puts the uncorrected formation energy at 1.65 eV per atom. The density of states at the Fermi level comes out at 4.79 states/eV/f.u.

=====

# 4
# TlTc2Pt

A relaxed TlTc2Pt crystal (PBE, Alexandria via LeMat-Bulk).

It has space group P4/mmm (No. 123), with a = 3.895 Å, b = 3.895 Å, c = 4.385 Å, α = 90.00°, β = 90.00° and γ = 90.00°. The distinct sites, in fractional coordinates, are Tl at (0.000, 0.000, 0.000), Tc at (0.000, 0.500, 0.500) and Pt at (0.500, 0.500, 0.000).

As for the formation energy from the elements: 0.49 eV/atom. For the energy above the lowest structure with this stoichiometry, the calculation gives 0.294 eV per atom. The crystal system is tetragonal. As for the calculated total energy: -27.19 eV per cell. The density of states at the Fermi level comes out at 4.94 states/eV/f.u.